(1)
A plane-wave DFT calculation with PBE-GGA was carried out for an optimized crystal structure of Sb2TeSe.

abc: 13.2003 4.3435 4.3455
angles: 90.00 109.12 90.00
Closest atoms and distances in Å follow each position.
Space group Cm (No. 8)
Symmetry-distinct sites (fractional):
Sb1 0.0000 0.0000 0.0000 (multiplicity 2)  1 Se 2.97, 4 Te 3.07, 1 Sb 3.10
Sb2 0.2482 0.0000 0.2495 (multiplicity 2)  4 Se 3.08, 1 Sb 3.10, 1 Te 3.10
Te1 0.4969 0.0000 0.4973 (multiplicity 2)  5 Sb 3.07-3.10, 1 Se 3.30
Se1 0.2618 0.5000 0.7628 (multiplicity 2)  5 Sb 2.97-3.08, 1 Te 3.30

Output
ΔE to the lowest computed polymorph	31.4	meV/atom
theoretical density	6.3	Mg/m³
ΔE_f (raw)	-0.002	eV/atom
E_tot	-3.7200	eV per atom
magnetization	0.00	μB/f.u.

***

(2)
A plane-wave DFT calculation with PBE-GGA was carried out for an optimized crystal structure of CeY2H8.

abc: 3.6751 5.3518 11.0573
angles: 90.00 90.00 90.00
Closest atoms and distances in Å follow each position.
Space group Immm (No. 71)
Symmetry-distinct sites (fractional):
Ce1 0.0000 0.0000 0.0000 (multiplicity 2)  12 H 2.31-2.50
Y1 0.0000 0.0000 0.3306 (multiplicity 4)  8 H 2.21-2.31
H1 0.0000 0.2188 0.5000 (multiplicity 4)  2 Y 2.21, 3 H 2.27-2.34, 2 Ce 2.38
H2 0.0000 0.2652 0.1652 (multiplicity 8)  3 Y 2.23-2.31, 1 Ce 2.31, 3 H 2.33-2.37
H3 0.0000 0.5000 0.3466 (multiplicity 4)  8 H 2.27-2.37, 2 Ce 2.50

Output
theoretical density	5.0	Mg/m³
E_tot	-4.7499	eV per atom
magnetization	0.86	μB/f.u.

***

(3)
A plane-wave DFT calculation with PBE-GGA was carried out for an optimized crystal structure of MgCr2W.

abc: 3.1031 4.2382 4.5051
angles: 90.00 90.00 90.00
Closest atoms and distances in Å follow each position.
Space group Pmmm (No. 47)
Symmetry-distinct sites (fractional):
Mg1 0.0000 0.0000 0.0000 (multiplicity 1)  4 Cr 2.63, 4 W 2.74
Cr1 0.0000 0.5000 0.5000 (multiplicity 1)  4 W 2.63, 4 Cr 2.74
Cr2 0.5000 0.5000 0.0000 (multiplicity 1)  4 Mg 2.63, 4 Cr 2.74
W1 0.5000 0.0000 0.5000 (multiplicity 1)  4 Cr 2.63, 4 Mg 2.74

Output
ΔE to the lowest computed polymorph	222.9	meV/atom
theoretical density	8.7	Mg/m³
E_tot	-7.8985	eV per atom
magnetization	2.28	μB/f.u.
E_form	0.550	eV per atom

***

(4)
A plane-wave DFT calculation with PBE-GGA was carried out for an optimized crystal structure of PrAlCo2H8.

abc: 4.3992 4.3992 16.8964
angles: 90.00 90.00 120.00
Closest atoms and distances in Å follow each position.
Space group R-3 (No. 148, hexagonal axes)
Symmetry-distinct sites (fractional):
Pr1 0.0000 0.0000 0.0000 (multiplicity 3)  6 H 2.33
Al1 0.0000 0.0000 0.5000 (multiplicity 3)  6 H 1.84
Co1 0.0000 0.0000 0.1954 (multiplicity 6)  7 H 1.61-1.78
H1 0.0000 0.0000 0.2943 (multiplicity 6)  1 Co 1.67
H2 0.0114 0.7303 0.8819 (multiplicity 18)  2 Co 1.61-1.78

Output
theoretical density	5.2	Mg/m³
E_tot	-4.2857	eV per atom
magnetization	0.00	μB/f.u.

***

(5)
A plane-wave DFT calculation with PBE-GGA was carried out for an optimized crystal structure of SnGeAsN2.

abc: 4.1339 4.1339 5.5943
angles: 90.00 90.00 90.00
Closest atoms and distances in Å follow each position.
Space group P4/mmm (No. 123)
Symmetry-distinct sites (fractional):
Sn1 0.0000 0.0000 0.0000 (multiplicity 1)  4 N 2.07
Ge1 0.5000 0.5000 0.5000 (multiplicity 1)  4 As 2.92
As1 0.0000 0.0000 0.5000 (multiplicity 1)  2 Sn 2.80, 4 Ge 2.92
N1 0.0000 0.5000 0.0000 (multiplicity 2)  2 Sn 2.07

Output
theoretical density	5.1	Mg/m³
ΔE_f (raw)	1.383	eV/atom
E_tot	-4.6012	eV per atom
magnetization	2.57	μB/f.u.

***

(6)
A plane-wave DFT calculation with PBE-GGA was carried out for an optimized crystal structure of Eu2DySc.

abc: 8.0811 8.0811 8.0811
angles: 90.00 90.00 90.00
Closest atoms and distances in Å follow each position.
Space group Fm-3m (No. 225)
Symmetry-distinct sites (fractional):
Eu1 0.2500 0.2500 0.2500 (multiplicity 8)  4 Dy 3.50, 4 Sc 3.50
Dy1 0.0000 0.0000 0.0000 (multiplicity 4)  8 Eu 3.50
Sc1 0.0000 0.0000 0.5000 (multiplicity 4)  8 Eu 3.50

Output
ΔE to the lowest computed polymorph	39.4	meV/atom
theoretical density	6.4	Mg/m³
E_tot	-7.6602	eV per atom
magnetization	14.42	μB/f.u.
E_form	0.210	eV per atom